Entry 1:
The following is a DFT calculation (PBE-GGA) of Nd4PRh4 after structural relaxation.

Results
Final energy = -6.656 eV/atom
Density = 7.96 g/cm3
Formation enthalpy at 0 K = -0.67 eV per atom

Cell: 8.3235 8.3235 6.1403 Å, 90.00 90.00 90.00°
Space group P4_2/n (No. 86, origin choice 2)
Asymmetric unit:
Nd  0.0164  0.7510  0.0709 (multiplicity 8)
P  0.2500  0.2500  0.2500 (multiplicity 2)
Rh  0.0156  0.2492  0.4463 (multiplicity 8)

Entry 2:
The following is a DFT calculation (PBE-GGA) of NdP2Rh after structural relaxation.

Results
Final energy = -6.763 eV/atom
Energy above the most stable polymorph in this dataset = 0 meV/atom
Density = 7.03 g/cm3
Formation enthalpy at 0 K = -1.03 eV per atom

Cell: 3.9299 3.9299 16.3779 Å, 90.00 90.00 120.00°
Space group R-3m (No. 166, hexagonal axes)
Asymmetric unit:
Nd  0.0000  0.0000  0.0000 (multiplicity 3)
P  0.0000  0.0000  0.2258 (multiplicity 6)
Rh  0.0000  0.0000  0.5000 (multiplicity 3)

Entry 3:
The following is a DFT calculation (PBE-GGA) of NdP2RuRh after structural relaxation.

Results
Final energy = -7.474 eV/atom
Density = 8.35 g/cm3
Formation enthalpy at 0 K = -1.03 eV per atom

Cell: 4.0369 4.0369 10.0160 Å, 90.00 90.00 90.00°
Space group I-4m2 (No. 119)
Asymmetric unit:
Nd  0.0000  0.0000  0.0000 (multiplicity 2)
P  0.0000  0.0000  0.3792 (multiplicity 4)
Ru  0.0000  0.5000  0.7500 (multiplicity 2)
Rh  0.0000  0.5000  0.2500 (multiplicity 2)

Entry 4:
The following is a DFT calculation (PBE-GGA) of Nd4PRhS2 after structural relaxation.

Results
Final energy = -6.518 eV/atom
Density = 6.41 g/cm3

Cell: 7.1980 4.0852 7.2045 Å, 90.00 108.68 90.00°
Space group P2/m (No. 10)
Asymmetric unit:
Nd  0.2471  0.0000  0.2427 (multiplicity 2)
Nd  0.2502  0.5000  0.7587 (multiplicity 2)
P  0.5000  0.0000  0.0000 (multiplicity 1)
Rh  0.0000  0.5000  0.0000 (multiplicity 1)
S  0.0000  0.0000  0.5000 (multiplicity 1)
S  0.5000  0.5000  0.5000 (multiplicity 1)

Entry 5:
The following is a DFT calculation (PBE-GGA) of Nd6P2RhS3 after structural relaxation.

Results
Final energy = -6.562 eV/atom
Density = 6.25 g/cm3

Cell: 17.9913 4.1048 8.3237 Å, 90.00 103.32 90.00°
Space group C2/m (No. 12)
Asymmetric unit:
Nd  0.0013  0.0000  0.2480 (multiplicity 4)
Nd  0.1644  0.5000  0.0878 (multiplicity 4)
Nd  0.1690  0.5000  0.5804 (multiplicity 4)
P  0.1664  0.0000  0.3348 (multiplicity 4)
Rh  0.0000  0.5000  0.0000 (multiplicity 2)
S  0.0000  0.5000  0.5000 (multiplicity 2)
S  0.1687  0.0000  0.8333 (multiplicity 4)

Entry 6:
The following is a DFT calculation (PBE-GGA) of Nd2SbPRh6 after structural relaxation.

Results
Final energy = -6.970 eV/atom
Density = 8.96 g/cm3

Cell: 5.8387 8.7538 7.6768 Å, 90.00 90.00 90.00°
Space group Pmmn (No. 59, origin choice 2)
Asymmetric unit:
Nd  0.2500  0.0210  0.2274 (multiplicity 4)
Sb  0.2500  0.7500  0.7957 (multiplicity 2)
P  0.2500  0.2500  0.7158 (multiplicity 2)
Rh  0.0107  0.7500  0.0757 (multiplicity 4)
Rh  0.0177  0.7500  0.4932 (multiplicity 4)
Rh  0.2500  0.0022  0.6155 (multiplicity 4)